Record 1
VASP calculation (PBE-GGA) on SrSnIr after structural relaxation.

Structure (POSCAR):
```
SrSnIr
1.0
0.0000 3.4088 3.4088
3.4088 0.0000 3.4088
3.4088 3.4088 0.0000
Sr Sn Ir
1 1 1
direct
0.0000 0.0000 0.0000
0.5000 0.5000 0.5000
0.7500 0.7500 0.7500
```

Calculated values
* space group: F-43m
* final energy: -0.371 Ry/atom
* ρ: 8354 kg/m³
* total magnetization: 0.01 μB per formula unit
* calculated volume: 79 Å³ per cell

=====

Record 2
VASP calculation (PBE-GGA) on SrSnIr after structural relaxation.

Structure (POSCAR):
```
SrSnIr
1.0
0.0000 3.5100 3.5100
3.5100 0.0000 3.5100
3.5100 3.5100 0.0000
Sr Sn Ir
1 1 1
direct
0.0000 0.0000 0.0000
0.2500 0.2500 0.2500
0.7500 0.7500 0.7500
```

Calculated values
* space group: F-43m
* final energy: -0.301 Ry/atom
* ρ: 7652 kg/m³
* total magnetization: 0.01 μB per formula unit
* calculated volume: 86 Å³ per cell

=====

Record 3
VASP calculation (PBE-GGA) on Sr2ZnSn3Ir2 after structural relaxation.

Structure (POSCAR):
```
Sr2ZnSn3Ir2
1.0
5.6888 -2.1996 0.0000
5.6888 2.1996 0.0000
-0.0304 0.0000 7.6798
Sr Zn Sn Ir
2 1 3 2
direct
0.0000 0.0000 0.0000
0.1223 0.1223 0.4826
0.7314 0.7314 0.1899
0.3974 0.3974 0.2936
0.4066 0.4066 0.6949
0.7116 0.7116 0.8039
0.2712 0.2712 0.9934
0.8420 0.8420 0.4987
```

Calculated values
* space group: Cm
* final energy: -0.352 Ry/atom
* ρ: 8478 kg/m³
* total magnetization: 0.00 μB per formula unit
* calculated volume: 192 Å³ per cell

=====

Record 4
VASP calculation (PBE-GGA) on SrZnSn2Ir after structural relaxation.

Structure (POSCAR):
```
SrZnSn2Ir
1.0
4.6283 0.0000 0.0000
0.0000 4.6283 0.0000
0.0000 0.0000 11.1722
Sr Zn Sn Ir
2 2 4 2
direct
0.2500 0.2500 0.2464
0.7500 0.7500 0.7536
0.2500 0.7500 0.5000
0.7500 0.2500 0.5000
0.2500 0.2500 0.6427
0.2500 0.7500 0.0000
0.7500 0.2500 0.0000
0.7500 0.7500 0.3573
0.2500 0.2500 0.8779
0.7500 0.7500 0.1221
```

Calculated values
* space group: P4/nmm
* final energy: -0.324 Ry/atom
* ρ: 8086 kg/m³
* total magnetization: 0.01 μB per formula unit
* calculated volume: 239 Å³ per cell

=====

Record 5
VASP calculation (PBE-GGA) on TaSnIr2 after structural relaxation.

Structure (POSCAR):
```
TaSnIr2
1.0
0.0000 3.2333 3.2333
3.2333 0.0000 3.2333
3.2333 3.2333 0.0000
Ta Sn Ir
1 1 2
direct
0.0000 0.0000 0.0000
0.7500 0.7500 0.7500
0.2500 0.2500 0.2500
0.5000 0.5000 0.5000
```

Calculated values
* space group: F-43m
* final energy: -0.611 Ry/atom
* ρ: 16803 kg/m³
* total magnetization: 0.00 μB per formula unit
* calculated volume: 68 Å³ per cell

=====

Record 6
VASP calculation (PBE-GGA) on TaSn2Ir after structural relaxation.

Structure (POSCAR):
```
TaSn2Ir
1.0
0.0000 3.3892 3.3892
3.3892 0.0000 3.3892
3.3892 3.3892 0.0000
Ta Sn Ir
1 2 1
direct
0.0000 0.0000 0.0000
0.5000 0.5000 0.5000
0.7500 0.7500 0.7500
0.2500 0.2500 0.2500
```

Calculated values
* space group: F-43m
* final energy: -0.501 Ry/atom
* ρ: 13022 kg/m³
* total magnetization: 0.50 μB per formula unit
* calculated volume: 78 Å³ per cell

=====

Record 7
VASP calculation (PBE-GGA) on Ta2SnIr after structural relaxation.

Structure (POSCAR):
```
Ta2SnIr
1.0
0.0000 3.2902 3.2902
3.2902 0.0000 3.2902
3.2902 3.2902 0.0000
Ta Sn Ir
2 1 1
direct
0.0000 0.0000 0.0000
0.2500 0.2500 0.2500
0.5000 0.5000 0.5000
0.7500 0.7500 0.7500
```

Calculated values
* space group: F-43m
* final energy: -0.666 Ry/atom
* ρ: 15684 kg/m³
* total magnetization: 0.07 μB per formula unit
* calculated volume: 71 Å³ per cell

=====

Record 8
VASP calculation (PBE-GGA) on Tb2SnIr after structural relaxation.

Structure (POSCAR):
```
Tb2SnIr
1.0
6.2565 0.0000 0.0000
0.0000 3.9774 0.0000
-2.8275 0.0000 8.1584
Tb Sn Ir
4 2 2
direct
0.1672 0.2500 0.3918
0.2515 0.7500 0.0459
0.7485 0.2500 0.9541
0.8328 0.7500 0.6082
0.3775 0.7500 0.7034
0.6225 0.2500 0.2966
0.1176 0.2500 0.7968
0.8824 0.7500 0.2032
```

Calculated values
* space group: P2_1/m
* final energy: -0.465 Ry/atom
* ρ: 10286 kg/m³
* total magnetization: 0.00 μB per formula unit
* calculated volume: 203 Å³ per cell

=====

> The highest calculated volume belongs to which entry?

SrZnSn2Ir

=====

> Look up the final energy of the eighth one.

-0.465 Ry/atom